Entry 1:
# VSi3H PBE optimized geometry
data_VSi3H
_space_group_name_H-M_alt 'P 1'
_space_group_IT_number 1
_space_group_name_Hall 'P 1'
_cell_length_a 3.873
_cell_length_b 3.873
_cell_length_c 3.873
_cell_angle_alpha 90.00
_cell_angle_beta 90.00
_cell_angle_gamma 90.00
loop_
_atom_site_label
_atom_site_type_symbol
_atom_site_fract_x
_atom_site_fract_y
_atom_site_fract_z
V1 V 0.500 0.500 0.500
H1 H 0.000 0.000 0.000
Si1 Si 0.000 0.500 0.000
Si2 Si 0.500 0.000 0.000
Si3 Si 0.000 0.000 0.500
# - E_tot: -5.36 eV per atom
# - Relative energy among the computed polymorphs: 0 meV per atom
# - Space-group type: Pm-3m, No. 221

***

Entry 2:
# CoPtRh2 PBE optimized geometry
data_CoPtRh2
_space_group_name_H-M_alt 'P 1'
_space_group_IT_number 1
_space_group_name_Hall 'P 1'
_cell_length_a 2.707
_cell_length_b 4.673
_cell_length_c 5.398
_cell_angle_alpha 54.98
_cell_angle_beta 90.00
_cell_angle_gamma 90.00
loop_
_atom_site_label
_atom_site_type_symbol
_atom_site_fract_x
_atom_site_fract_y
_atom_site_fract_z
Rh1 Rh 0.500 0.500 0.000
Pt1 Pt 0.000 0.000 0.500
Co1 Co 0.500 0.500 0.500
Rh2 Rh 0.000 0.000 0.000
# - ΔE_f: -0.004 eV per atom
# - E_tot: -6.97 eV per atom
# - Space-group type: P2/m, No. 10